Entry 1:
{
  "formula": "Hg2AuBrO",
  "functional": "PBE",
  "state": "optimized geometry",
  "raw_formation_energy_ev_per_atom": 0.80,
  "sg": "P4/mmm, No. 123",
  "cell": [[-6.127, 3.281, -1.635], [-1.010, -3.513, -3.264], [-3.357, -3.744, 5.068]],
  "species": ["O", "Au", "Hg", "Hg", "Br"],
  "fractional_positions": [[0.500, 0.500, 0.500], [0.000, 0.500, 0.000], [0.000, 0.000, 0.500], [0.500, 0.000, 0.000], [0.000, 0.000, 0.000]]
}

***

Entry 2:
{
  "formula": "MnCoW2",
  "functional": "PBE",
  "state": "optimized geometry",
  "de_polymorph_mev_per_atom": 32,
  "ef_ev_per_atom": 0.1622,
  "sg": "Cmm2, No. 35",
  "cell": [[-0.155, 2.635, 0.471], [-0.533, -0.208, -2.620], [-7.755, -0.749, 1.636]],
  "species": ["Co", "Mn", "W", "W"],
  "fractional_positions": [[0.000, 0.000, 0.513], [0.500, 0.500, 0.728], [0.000, 0.000, 0.986], [0.500, 0.500, 0.273]]
}

***

Entry 3:
{
  "formula": "CsRb2SCl6",
  "functional": "PBE",
  "state": "optimized geometry",
  "raw_formation_energy_ev_per_atom": -1.09,
  "sg": "I4/mmm, No. 139",
  "cell": [[-6.405, -3.539, 2.649], [3.371, -0.894, 6.958], [-3.810, 3.296, 6.623]],
  "species": ["Cs", "S", "Rb", "Rb", "Cl", "Cl", "Cl", "Cl", "Cl", "Cl"],
  "fractional_positions": [[0.000, 0.000, 0.000], [0.500, 0.500, 0.000], [0.750, 0.250, 0.500], [0.250, 0.750, 0.500], [0.261, 0.261, 0.479], [0.739, 0.739, 0.521], [0.291, 0.291, 0.000], [0.709, 0.709, 0.000], [0.709, 0.291, 0.000], [0.291, 0.709, 0.000]]
}

***

Entry 4:
{
  "formula": "LiGe2PbO",
  "functional": "PBE",
  "state": "optimized geometry",
  "raw_formation_energy_ev_per_atom": 0.51,
  "sg": "P4/mmm, No. 123",
  "cell": [[-1.082, -3.173, 2.734], [0.770, -3.600, -3.873], [4.142, -0.390, 1.187]],
  "species": ["Pb", "Ge", "Ge", "O", "Li"],
  "fractional_positions": [[0.000, 0.500, 0.000], [0.000, 0.000, 0.500], [0.500, 0.000, 0.000], [0.500, 0.500, 0.500], [0.000, 0.000, 0.000]]
}

***

Entry 5:
{
  "formula": "PmNb2Fe9",
  "functional": "PBE",
  "state": "optimized geometry",
  "ef_ev_per_atom": -0.0688,
  "sg": "R-3m, No. 166",
  "cell": [[-2.521, 3.728, -2.041], [-4.642, -0.707, -1.541], [-5.068, 3.092, 5.923]],
  "species": ["Pm", "Nb", "Nb", "Fe", "Fe", "Fe", "Fe", "Fe", "Fe", "Fe", "Fe", "Fe"],
  "fractional_positions": [[0.000, 0.000, 0.000], [0.856, 0.856, 0.433], [0.144, 0.144, 0.567], [0.667, 0.667, 0.000], [0.333, 0.333, 0.000], [0.500, 0.500, 0.500], [0.411, 0.411, 0.261], [0.916, 0.411, 0.261], [0.411, 0.916, 0.261], [0.589, 0.589, 0.739], [0.589, 0.084, 0.739], [0.084, 0.589, 0.739]]
}

***

Entry 6:
{
  "formula": "TaTiFe",
  "functional": "PBE",
  "state": "optimized geometry",
  "de_polymorph_mev_per_atom": 180,
  "ef_ev_per_atom": 0.1163,
  "sg": "C2/c, No. 15",
  "cell": [[-2.017, 5.084, -2.152], [-2.797, -3.228, -4.038], [-2.266, -1.274, 6.626]],
  "species": ["Ta", "Ta", "Ta", "Ta", "Ti", "Ti", "Ti", "Ti", "Fe", "Fe", "Fe", "Fe"],
  "fractional_positions": [[0.659, 0.085, 0.245], [0.410, 0.335, 0.745], [0.666, 0.590, 0.255], [0.915, 0.340, 0.755], [0.159, 0.085, 0.245], [0.166, 0.590, 0.255], [0.410, 0.835, 0.745], [0.915, 0.840, 0.755], [0.539, 0.964, 0.500], [0.786, 0.711, 0.000], [0.036, 0.461, 0.500], [0.289, 0.214, 0.000]]
}

***

Entry 7:
{
  "formula": "Al2Cu2Si",
  "functional": "PBE",
  "state": "optimized geometry",
  "de_polymorph_mev_per_atom": 32,
  "raw_formation_energy_ev_per_atom": 0.02,
  "sg": "C2/m, No. 12",
  "cell": [[1.991, -3.116, 3.012], [4.439, -1.519, 0.854], [2.088, 2.287, 4.060]],
  "species": ["Al", "Al", "Cu", "Cu", "Si"],
  "fractional_positions": [[0.358, 0.358, 0.781], [0.642, 0.642, 0.219], [0.672, 0.672, 0.686], [0.328, 0.328, 0.314], [0.000, 0.000, 0.000]]
}

***

Entry 8:
{
  "formula": "CaTmGaNi",
  "functional": "PBE",
  "state": "optimized geometry",
  "ef_ev_per_atom": -0.3153,
  "sg": "F-43m, No. 216",
  "cell": [[-0.568, -2.230, -4.352], [3.951, -1.373, -2.597], [1.091, -4.777, -0.480]],
  "species": ["Ni", "Ca", "Tm", "Ga"],
  "fractional_positions": [[0.000, 0.000, 0.000], [0.250, 0.250, 0.250], [0.750, 0.750, 0.750], [0.500, 0.500, 0.500]]
}

***

Q: Which formula does entry 5 have?
A: PmNb2Fe9